Entry from the Alexandria database: a relaxed CsPrAgTe2 crystal (GGA-PBE).

Cell and atoms, written as POSCAR:
```
CsPrAgTe2
1.0
8.9279 0.0000 0.0000
0.0000 4.9389 0.0000
-0.5888 0.0000 9.1984
Cs Pr Ag Te
2 2 2 4
Direct
0.0000 0.0670 0.2500
0.0000 0.9330 0.7500
0.5000 0.4974 0.7500
0.5000 0.5026 0.2500
0.5000 0.0000 0.0000
0.5000 0.0000 0.5000
0.2653 0.3935 0.9860
0.2653 0.6065 0.4860
0.7347 0.3935 0.5140
0.7347 0.6065 0.0140
```

Results
ΔE_f (raw)	-0.8462	eV per atom
symmetry	P2/c (13)


Entry from the Alexandria database: a relaxed LiAl4Ni15 crystal (GGA-PBE).

Cell and atoms, written as POSCAR:
```
LiAl4Ni15
1.0
3.5579 0.0000 0.0000
0.0000 3.5579 0.0000
0.0000 0.0000 17.7732
Li Al Ni
1 4 15
Direct
0.0000 0.0000 0.0000
0.0000 0.0000 0.1984
0.0000 0.0000 0.3997
0.0000 0.0000 0.6003
0.0000 0.0000 0.8016
0.0000 0.5000 0.0984
0.0000 0.5000 0.2988
0.0000 0.5000 0.5000
0.0000 0.5000 0.7012
0.0000 0.5000 0.9016
0.5000 0.0000 0.0984
0.5000 0.0000 0.2988
0.5000 0.0000 0.5000
0.5000 0.0000 0.7012
0.5000 0.0000 0.9016
0.5000 0.5000 0.0000
0.5000 0.5000 0.1984
0.5000 0.5000 0.3994
0.5000 0.5000 0.6006
0.5000 0.5000 0.8016
```

Results
calculated formation energy	-333	meV per atom
symmetry	P4/mmm (123)


Entry from the Alexandria database: a relaxed Tb2CeDyIn4 crystal (GGA-PBE).

Cell and atoms, written as POSCAR:
```
Tb2CeDyIn4
1.0
2.6793 1.5469 8.8001
-2.6793 1.5469 8.8001
0.0000 -3.0938 8.8001
Tb Ce Dy In
2 1 1 4
Direct
0.2494 0.2494 0.2494
0.7506 0.7506 0.7506
0.0000 0.0000 0.0000
0.5000 0.5000 0.5000
0.1262 0.1262 0.1262
0.3763 0.3763 0.3763
0.6237 0.6237 0.6237
0.8738 0.8738 0.8738
```

Results
calculated formation energy	-433	meV per atom
symmetry	R-3m (166)


Entry from the Alexandria database: a relaxed CuRuSe crystal (GGA-PBE).

Cell and atoms, written as POSCAR:
```
CuRuSe
1.0
-1.5234 1.5234 4.9444
1.5234 -1.5234 4.9444
1.5234 1.5234 -4.9444
Cu Ru Se
1 1 1
Direct
0.0000 0.0000 0.0000
0.3275 0.3275 0.0000
0.6972 0.6972 0.0000
```

Results
ΔE_f (raw)	0.1982	eV per atom
symmetry	I4mm (107)


Entry from the Alexandria database: a relaxed CeBiSe crystal (GGA-PBE).

Cell and atoms, written as POSCAR:
```
CeBiSe
1.0
-2.1771 2.1771 9.0352
2.1771 -2.1771 9.0352
2.1771 2.1771 -9.0352
Ce Bi Se
2 2 2
Direct
0.1526 0.1526 0.0000
0.8474 0.8474 0.0000
0.0000 0.5000 0.5000
0.5000 0.0000 0.5000
0.3164 0.3164 0.0000
0.6836 0.6836 0.0000
```

Results
ΔE_f (raw)	-1.2248	eV per atom
symmetry	I4/mmm (139)


Entry from the Alexandria database: a relaxed CaSc2Se crystal (GGA-PBE).

Cell and atoms, written as POSCAR:
```
CaSc2Se
1.0
3.5707 0.0000 0.0000
0.0000 3.5707 0.0000
0.0000 0.0000 7.8424
Ca Sc Se
1 2 1
Direct
0.0000 0.0000 0.0000
0.0000 0.0000 0.5667
0.5000 0.5000 0.3290
0.5000 0.5000 0.7261
```

Results
ΔE_f (raw)	-0.6986	eV per atom
symmetry	P4mm (99)


| no. | raw total energy (eV per atom) |
| --- | --- |
| 1 | -3.800 |
| 2 | -5.514 |
| 3 | -4.277 |
| 4 | -5.421 |
| 5 | -5.658 |
| 6 | -5.236 |